No. 1
Entry from the Alexandria database: a geometry-optimized PmEr2Al structure (GGA-PBE).

abc: 3.513 3.513 9.007
angles: 90.00 90.00 90.00
Sites, in units of the cell vectors:
Pm 0.500 0.500 0.500
Er 0.000 0.000 0.790
Er 0.000 0.000 0.210
Al 0.500 0.500 0.000

Calculated values
formation energy	-200	meV per atom
ΔE to the lowest computed polymorph	0.00	eV per formula unit
SG	P4/mmm (123)


No. 2
Entry from the Alexandria database: a geometry-optimized ThH6Rh structure (GGA-PBE).

abc: 4.490 4.490 4.677
angles: 61.31 61.31 60.00
Sites, in units of the cell vectors:
H 0.105 0.556 0.235
H 0.895 0.895 0.765
H 0.444 0.895 0.765
H 0.556 0.105 0.235
H 0.895 0.444 0.765
H 0.105 0.105 0.235
Rh 0.000 0.000 0.000
Th 0.500 0.500 0.500

Calculated values
total energy	-37.85	eV/cell
SG	R-3m (166)


No. 3
Entry from the Alexandria database: a geometry-optimized DyAs2Pb structure (GGA-PBE).

abc: 4.172 4.172 7.511
angles: 73.88 73.88 60.00
Sites, in units of the cell vectors:
As 0.257 0.257 0.228
As 0.743 0.743 0.772
Pb 0.500 0.500 0.500
Dy 0.000 0.000 0.000

Calculated values
formation energy	-617	meV per atom
SG	R-3m (166)